# LiCrNF2 (PBE+U, relaxed)
# - relative energy among the computed polymorphs (meV/atom) = 0
# - uncorrected energy (eV per atom) = -5.638
# - crystal system = tetragonal
# - N(E_F) (states/eV per cell) = 0.6
data_LiCrNF2
_symmetry_space_group_name_H-M 'P 4/m m m'
_symmetry_Int_Tables_number 123
_symmetry_space_group_name_Hall '-P 4 2'
_cell_length_a 4.0043
_cell_length_b 4.0043
_cell_length_c 3.7548
_cell_angle_alpha 90.00
_cell_angle_beta 90.00
_cell_angle_gamma 90.00
loop_
_atom_site_label
_atom_site_type_symbol
_atom_site_fract_x
_atom_site_fract_y
_atom_site_fract_z
Li1 Li 0.0000 0.0000 0.0000
Cr1 Cr 0.5000 0.5000 0.5000
N1 N 0.5000 0.5000 0.0000
F1 F 0.0000 0.5000 0.5000